Here is a geometry-optimized NaBeOs3 structure from Alexandria. Energies are from GGA-PBE.

```
NaBeOs3
1.0
4.2050 0.0000 0.0000
0.0000 4.2050 0.0000
0.0000 0.0000 4.2050
Os Be Na
3 1 1
Direct
0.5000 0.0000 0.0000
0.0000 0.5000 0.0000
0.0000 0.0000 0.5000
0.0000 0.0000 0.0000
0.5000 0.5000 0.5000
```

Output
energy relative to the elements: 1.162 eV per atom
relative energy among the computed polymorphs: 0 meV per atom
E: -6.585 eV/atom
total magnetization: 1.042 Bohr magnetons per cell
calculated volume: 74.4 Å³/cell

Here is a geometry-optimized NaBeOs2 structure from Alexandria. Energies are from GGA-PBE.

```
NaBeOs2
1.0
4.0174 0.0000 0.0000
0.0000 4.0174 0.0000
2.0087 2.0087 8.6871
Na Os Be
2 4 2
Direct
0.0000 0.0000 0.0000
0.7500 0.2500 0.5000
0.3750 0.4765 0.7500
0.8750 0.7735 0.7500
0.5235 0.1250 0.2500
0.2265 0.6250 0.2500
0.5000 0.5000 0.0000
0.2500 0.7500 0.5000
```

Output
energy relative to the elements: 1.013 eV per atom
E: -5.863 eV/atom
total magnetization: 0.000 Bohr magnetons per cell
calculated volume: 140.2 Å³/cell

Here is a geometry-optimized Na2BePOs structure from Alexandria. Energies are from GGA-PBE.

```
Na2BePOs
1.0
5.1205 0.0000 0.0000
0.0000 4.3840 0.0000
0.0000 0.0000 5.1205
Na Os P Be
2 1 1 1
Direct
0.0000 0.0000 0.5000
0.5000 0.0000 0.0000
0.0000 0.5000 0.0000
0.0000 0.0000 0.0000
0.5000 0.5000 0.5000
```

Output
energy relative to the elements: 0.866 eV per atom
E: -3.734 eV/atom
total magnetization: 0.000 Bohr magnetons per cell
calculated volume: 114.9 Å³/cell